Entry 1:
Material: PmTmTh
Method: DFT, GGA-PBE
State: optimized geometry

Results
Uncorrected energy, Ha/atom: -0.203
Calculated formation energy, eV/atom: 0.031
Polymorph energy (0 for the lowest one), eV per formula unit: 0.010
Calculated volume, Å³/cell: 96.9

abc: 3.5790 3.5790 8.7310
angles: 90.00 90.00 120.00
Last column: nearest neighbours and their distance in Å.
Fractional coordinates of all 3 atoms:
1 Th 0.3333 0.6667 0.6623  3 Tm 3.48, 3 Pm 3.57, 6 Th 3.58
2 Tm 0.6667 0.3333 0.3420  3 Th 3.48, 6 Tm 3.58, 3 Pm 3.66
3 Pm 0.0000 0.0000 0.9957  3 Th 3.57, 6 Pm 3.58, 3 Tm 3.66



Entry 2:
Material: Pm2Tm12Th
Method: DFT, GGA-PBE
State: optimized geometry

Results
Uncorrected energy, Ha/atom: -0.169
Calculated formation energy, eV/atom: 0.101
Calculated volume, Å³/cell: 934.7

abc: 6.5792 6.5792 24.4443
angles: 83.29 96.71 64.85
Last column: nearest neighbours and their distance in Å.
Fractional coordinates of all 30 atoms:
1 Tm 0.0028 0.9972 0.6695  7 Tm 3.25-3.62, 4 Pm 3.50
2 Tm 0.3944 0.6056 0.1919  9 Tm 3.31-3.56
3 Tm 0.1797 0.3203 0.5721  8 Tm 3.31-3.62
4 Tm 0.1484 0.3516 0.8654  8 Tm 3.22-3.56, 1 Pm 3.48
5 Tm 0.6483 0.8517 0.8654  8 Tm 3.22-3.56, 1 Pm 3.48
6 Tm 0.3516 0.1484 0.1346  8 Tm 3.22-3.56, 1 Pm 3.48
7 Tm 0.8335 0.1666 0.4451  10 Tm 3.16-3.53
8 Tm 0.5495 0.4504 0.0665  7 Tm 3.17-3.53
9 Tm 0.5028 0.4972 0.6695  7 Tm 3.25-3.62, 4 Pm 3.50
10 Tm 0.1056 0.8944 0.8081  9 Tm 3.31-3.56
11 Tm 0.3335 0.6665 0.4451  10 Tm 3.16-3.53
12 Tm 0.0496 0.9505 0.0665  7 Tm 3.17-3.53
13 Tm 0.9972 0.0028 0.3305  7 Tm 3.25-3.62, 4 Pm 3.50
14 Tm 0.6797 0.8203 0.5721  8 Tm 3.31-3.62
15 Tm 0.8203 0.6797 0.4279  8 Tm 3.31-3.62
16 Tm 0.3203 0.1797 0.4279  8 Tm 3.31-3.62
17 Tm 0.1665 0.8335 0.5549  10 Tm 3.16-3.53
18 Tm 0.6665 0.3334 0.5549  10 Tm 3.16-3.53
19 Tm 0.6056 0.3944 0.8081  9 Tm 3.31-3.56
20 Tm 0.8944 0.1056 0.1919  9 Tm 3.31-3.56
21 Tm 0.4972 0.5028 0.3305  7 Tm 3.25-3.62, 4 Pm 3.50
22 Tm 0.4504 0.5495 0.9335  7 Tm 3.17-3.53
23 Tm 0.9505 0.0496 0.9335  7 Tm 3.17-3.53
24 Tm 0.8517 0.6483 0.1346  8 Tm 3.22-3.56, 1 Pm 3.48
25 Pm 0.0400 0.4600 0.7194  5 Tm 3.48-3.50, 2 Pm 3.53
26 Pm 0.5400 0.9600 0.7194  5 Tm 3.48-3.50, 2 Pm 3.53
27 Pm 0.4600 0.0400 0.2806  5 Tm 3.48-3.50, 2 Pm 3.53
28 Pm 0.9600 0.5400 0.2806  5 Tm 3.48-3.50, 2 Pm 3.53
29 Th 0.5000 0.0000 0.0000  2 Th 3.53, 12 Tm 3.65-3.66
30 Th 0.0000 0.5000 0.0000  2 Th 3.53, 12 Tm 3.65-3.66



Entry 3:
Material: PmTmTh
Method: DFT, GGA-PBE
State: optimized geometry

Results
Uncorrected energy, Ha/atom: -0.203
Calculated formation energy, eV/atom: 0.027
Polymorph energy (0 for the lowest one), eV per formula unit: 0.000
Calculated volume, Å³/cell: 193.9

abc: 3.5806 3.5806 17.5778
angles: 90.03 95.81 119.98
Last column: nearest neighbours and their distance in Å.
Fractional coordinates of all 6 atoms:
1 Tm 0.8367 0.4178 0.2545  3 Th 3.53, 3 Pm 3.58, 6 Tm 3.58
2 Tm 0.1633 0.5822 0.7455  3 Th 3.53, 3 Pm 3.58, 6 Tm 3.58
3 Pm 0.3917 0.6953 0.0870  3 Tm 3.58, 9 Pm 3.58-3.68
4 Pm 0.6083 0.3047 0.9130  3 Tm 3.58, 9 Pm 3.58-3.68
5 Th 0.2790 0.1393 0.4184  9 Th 3.52-3.58, 3 Tm 3.53
6 Th 0.7210 0.8607 0.5816  9 Th 3.52-3.58, 3 Tm 3.53



Entry 4:
Material: PmTmTh2
Method: DFT, GGA-PBE
State: optimized geometry

Results
Uncorrected energy, Ha/atom: -0.215
Calculated formation energy, eV/atom: 0.168
Polymorph energy (0 for the lowest one), eV per formula unit: 0.556
Calculated volume, Å³/cell: 128.8

abc: 5.6691 5.6691 5.6691
angles: 60.00 60.00 60.00
Last column: nearest neighbours and their distance in Å.
Fractional coordinates of all 4 atoms:
1 Pm 0.0000 0.0000 0.0000  8 Th 3.47
2 Tm 0.5000 0.5000 0.5000  8 Th 3.47
3 Th 0.2500 0.2500 0.2500  4 Pm 3.47, 4 Tm 3.47
4 Th 0.7500 0.7500 0.7500  4 Pm 3.47, 4 Tm 3.47



Entry 5:
Material: Pm10Tm6Th
Method: DFT, GGA-PBE
State: optimized geometry

Results
Uncorrected energy, Ha/atom: -0.171
Calculated formation energy, eV/atom: 0.147
Calculated volume, Å³/cell: 567.7

abc: 6.9166 9.7357 9.7357
angles: 120.00 90.00 90.00
Last column: nearest neighbours and their distance in Å.
Fractional coordinates of all 17 atoms:
1 Pm 0.5000 0.3333 0.6667  6 Tm 3.35, 2 Pm 3.46
2 Pm 0.5000 0.6667 0.3333  6 Tm 3.35, 2 Pm 3.46
3 Pm 0.8247 0.2794 0.0000  5 Tm 3.36-3.62, 1 Th 3.53, 4 Pm 3.64-3.74
4 Pm 0.0000 0.3333 0.6667  8 Pm 3.46-3.74, 6 Tm 3.82
5 Pm 0.1753 0.0000 0.7206  5 Tm 3.36-3.62, 1 Th 3.53, 4 Pm 3.64-3.74
6 Pm 0.8247 0.0000 0.2794  5 Tm 3.36-3.62, 1 Th 3.53, 4 Pm 3.64-3.74
7 Pm 0.8247 0.7206 0.7206  5 Tm 3.36-3.62, 1 Th 3.53, 4 Pm 3.64-3.74
8 Pm 0.0000 0.6667 0.3333  8 Pm 3.46-3.74, 6 Tm 3.82
9 Pm 0.1753 0.2794 0.2794  5 Tm 3.36-3.62, 1 Th 3.53, 4 Pm 3.64-3.74
10 Pm 0.1753 0.7206 0.0000  5 Tm 3.36-3.62, 1 Th 3.53, 4 Pm 3.64-3.74
11 Tm 0.6790 0.6370 0.0000  7 Pm 3.35-3.62, 1 Tm 3.64, 1 Th 3.74
12 Tm 0.3210 0.0000 0.3630  7 Pm 3.35-3.62, 1 Tm 3.64, 1 Th 3.74
13 Tm 0.3210 0.6370 0.6370  7 Pm 3.35-3.62, 1 Tm 3.64, 1 Th 3.74
14 Tm 0.6790 0.3630 0.3630  7 Pm 3.35-3.62, 1 Tm 3.64, 1 Th 3.74
15 Tm 0.3210 0.3630 0.0000  7 Pm 3.35-3.62, 1 Tm 3.64, 1 Th 3.74
16 Tm 0.6790 0.0000 0.6370  7 Pm 3.35-3.62, 1 Tm 3.64, 1 Th 3.74
17 Th 0.5000 0.0000 0.0000  6 Pm 3.53, 6 Tm 3.74



Entry 6:
Material: Pm2TmTh
Method: DFT, GGA-PBE
State: optimized geometry

Results
Uncorrected energy, Ha/atom: -0.196
Calculated formation energy, eV/atom: 0.025
Polymorph energy (0 for the lowest one), eV per formula unit: 0.000
Calculated volume, Å³/cell: 262.3

abc: 3.5953 12.9562 11.3488
angles: 64.00 108.44 146.32
Last column: nearest neighbours and their distance in Å.
Fractional coordinates of all 8 atoms:
1 Pm 0.2267 0.7421 0.0004  8 Pm 3.48-3.70, 4 Tm 3.64
2 Pm 0.7733 0.2579 0.9996  8 Pm 3.48-3.70, 4 Tm 3.64
3 Pm 0.3723 0.8719 0.2562  4 Th 3.55, 2 Tm 3.59, 6 Pm 3.60-3.67
4 Pm 0.6277 0.1281 0.7438  4 Th 3.55, 2 Tm 3.59, 6 Pm 3.60-3.67
5 Tm 0.8698 0.3699 0.2601  4 Th 3.52, 6 Pm 3.59-3.64, 2 Tm 3.60
6 Tm 0.1302 0.6301 0.7399  4 Th 3.52, 6 Pm 3.59-3.64, 2 Tm 3.60
7 Th 0.5000 0.0000 0.5000  4 Tm 3.52, 4 Pm 3.55, 4 Th 3.59-3.60
8 Th 0.0000 0.5000 0.5000  4 Tm 3.52, 4 Pm 3.55, 4 Th 3.59-3.60



Entry 7:
Material: PmTm6Th3
Method: DFT, GGA-PBE
State: optimized geometry

Results
Uncorrected energy, Ha/atom: -0.195
Calculated formation energy, eV/atom: 0.080
Polymorph energy (0 for the lowest one), eV per formula unit: 0.000
Calculated volume, Å³/cell: 629.0

abc: 3.4923 13.0169 16.2000
angles: 121.33 90.00 90.00
Last column: nearest neighbours and their distance in Å.
Fractional coordinates of all 20 atoms:
1 Tm 0.2500 0.3503 0.6914  7 Tm 3.32-3.60, 3 Th 3.39-3.54, 2 Pm 3.56
2 Tm 0.2500 0.3963 0.2897  5 Th 3.45-3.74, 7 Tm 3.46-3.60
3 Tm 0.7500 0.1310 0.4890  3 Pm 3.48-3.52, 6 Tm 3.49-3.77, 2 Th 3.64
4 Tm 0.2500 0.8690 0.5110  3 Pm 3.48-3.52, 6 Tm 3.49-3.77, 2 Th 3.64
5 Tm 0.7500 0.3872 0.1016  4 Th 3.31-3.41, 7 Tm 3.32-3.56
6 Tm 0.2500 0.1150 0.2766  1 Pm 3.25, 3 Th 3.43-3.54, 5 Tm 3.49-3.57
7 Tm 0.2500 0.1432 0.9064  6 Tm 3.49-3.57, 5 Th 3.52-3.70, 2 Pm 3.66
8 Tm 0.2500 0.6128 0.8984  4 Th 3.31-3.41, 7 Tm 3.32-3.56
9 Tm 0.7500 0.6037 0.7103  5 Th 3.45-3.74, 7 Tm 3.46-3.60
10 Tm 0.7500 0.8850 0.7234  1 Pm 3.25, 3 Th 3.43-3.54, 5 Tm 3.49-3.57
11 Tm 0.7500 0.8568 0.0936  6 Tm 3.49-3.57, 5 Th 3.52-3.70, 2 Pm 3.66
12 Tm 0.7500 0.6497 0.3086  7 Tm 3.32-3.60, 3 Th 3.39-3.54, 2 Pm 3.56
13 Th 0.2500 0.3803 0.4956  7 Tm 3.39-3.64, 4 Th 3.49-3.51
14 Th 0.7500 0.1263 0.0916  6 Tm 3.31-3.57, 4 Th 3.49-3.54
15 Th 0.7500 0.3855 0.8948  1 Pm 3.30, 7 Tm 3.34-3.70, 4 Th 3.49-3.60
16 Th 0.2500 0.8737 0.9084  6 Tm 3.31-3.57, 4 Th 3.49-3.54
17 Th 0.2500 0.6145 0.1052  1 Pm 3.30, 7 Tm 3.34-3.70, 4 Th 3.49-3.60
18 Th 0.7500 0.6197 0.5044  7 Tm 3.39-3.64, 4 Th 3.49-3.51
19 Pm 0.7500 0.1158 0.6971  6 Tm 3.25-3.56, 1 Th 3.30, 2 Pm 3.49
20 Pm 0.2500 0.8842 0.3029  6 Tm 3.25-3.56, 1 Th 3.30, 2 Pm 3.49



Entry 8:
Material: Pm5Tm2Th3
Method: DFT, GGA-PBE
State: optimized geometry

Results
Uncorrected energy, Ha/atom: -0.200
Calculated formation energy, eV/atom: 0.046
Calculated volume, Å³/cell: 328.3

abc: 5.0693 6.2324 12.9679
angles: 61.28 78.73 66.00
Last column: nearest neighbours and their distance in Å.
Fractional coordinates of all 10 atoms:
1 Pm 0.3016 0.4990 0.8979  4 Tm 3.57-3.67, 6 Pm 3.58-3.63, 2 Th 3.58
2 Pm 0.6984 0.5010 0.1021  4 Tm 3.57-3.67, 6 Pm 3.58-3.63, 2 Th 3.58
3 Pm 0.8012 0.9977 0.3999  2 Tm 3.56, 7 Th 3.56-3.61, 3 Pm 3.58-3.60
4 Pm 0.0000 0.0000 0.0000  6 Pm 3.59-3.63, 2 Th 3.60, 4 Tm 3.62
5 Pm 0.1988 0.0023 0.6001  2 Tm 3.56, 7 Th 3.56-3.61, 3 Pm 3.58-3.60
6 Tm 0.4020 0.9910 0.2049  4 Th 3.54-3.63, 8 Pm 3.56-3.67
7 Tm 0.5980 0.0090 0.7951  4 Th 3.54-3.63, 8 Pm 3.56-3.67
8 Th 0.5000 0.5000 0.5000  2 Tm 3.54, 4 Th 3.58, 6 Pm 3.58-3.61
9 Th 0.0978 0.5036 0.3008  3 Tm 3.55-3.63, 7 Pm 3.56-3.61, 2 Th 3.58
10 Th 0.9022 0.4964 0.6992  3 Tm 3.55-3.63, 7 Pm 3.56-3.61, 2 Th 3.58



Entry 9:
Material: Pm5Tm12Th2
Method: DFT, GGA-PBE
State: optimized geometry

Results
Uncorrected energy, Ha/atom: -0.176
Calculated formation energy, eV/atom: 0.076
Polymorph energy (0 for the lowest one), eV per formula unit: 0.000
Calculated volume, Å³/cell: 605.1

abc: 6.2366 8.9092 13.8395
angles: 127.31 94.66 92.72
Last column: nearest neighbours and their distance in Å.
Fractional coordinates of all 19 atoms:
1 Tm 0.9237 0.2144 0.0535  7 Tm 3.38-3.67, 3 Th 3.42-3.67, 2 Pm 3.49-3.59
2 Tm 0.9778 0.1083 0.2665  3 Pm 3.44-3.55, 6 Tm 3.46-3.67, 2 Th 3.60-3.65
3 Tm 0.5964 0.7254 0.0486  7 Tm 3.41-3.80, 2 Th 3.42-3.54, 3 Pm 3.54-3.67
4 Tm 0.6493 0.6104 0.2452  4 Pm 3.36-3.59, 6 Tm 3.38-3.75, 1 Th 3.49
5 Tm 0.8039 0.4521 0.6583  5 Pm 3.32-3.62, 4 Tm 3.38-3.55, 1 Th 3.39
6 Tm 0.0222 0.8917 0.7335  3 Pm 3.44-3.55, 6 Tm 3.46-3.67, 2 Th 3.60-3.65
7 Tm 0.0763 0.7856 0.9465  7 Tm 3.38-3.67, 3 Th 3.42-3.67, 2 Pm 3.49-3.59
8 Tm 0.5004 0.9369 0.6185  5 Tm 3.48-3.80, 5 Pm 3.49-3.81, 1 Th 3.71
9 Tm 0.4036 0.2746 0.9514  7 Tm 3.41-3.80, 2 Th 3.42-3.54, 3 Pm 3.54-3.67
10 Tm 0.1961 0.5479 0.3417  5 Pm 3.32-3.62, 4 Tm 3.38-3.55, 1 Th 3.39
11 Tm 0.3507 0.3896 0.7548  4 Pm 3.36-3.59, 6 Tm 3.38-3.75, 1 Th 3.49
12 Tm 0.4996 0.0631 0.3815  5 Tm 3.48-3.80, 5 Pm 3.49-3.81, 1 Th 3.71
13 Th 0.5424 0.8363 0.8427  10 Tm 3.39-3.71, 1 Pm 3.43, 1 Th 3.59
14 Th 0.4576 0.1637 0.1573  10 Tm 3.39-3.71, 1 Pm 3.43, 1 Th 3.59
15 Pm 0.7309 0.5128 0.4440  7 Tm 3.32-3.62, 1 Th 3.43, 2 Pm 3.44-3.66
16 Pm 0.2691 0.4872 0.5560  7 Tm 3.32-3.62, 1 Th 3.43, 2 Pm 3.44-3.66
17 Pm 0.8766 0.3348 0.8481  10 Tm 3.37-3.67, 1 Pm 3.50
18 Pm 0.0000 0.0000 0.5000  10 Tm 3.53-3.89
19 Pm 0.1234 0.6652 0.1519  10 Tm 3.37-3.67, 1 Pm 3.50



Entry 10:
Material: Pm2Tm3Th4
Method: DFT, GGA-PBE
State: optimized geometry

Results
Uncorrected energy, Ha/atom: -0.213
Calculated formation energy, eV/atom: 0.049
Calculated volume, Å³/cell: 288.1

abc: 6.1844 5.0084 10.7460
angles: 89.99 107.11 113.89
Last column: nearest neighbours and their distance in Å.
Fractional coordinates of all 9 atoms:
1 Th 0.6689 0.3345 0.1108  4 Th 3.55-3.56, 4 Tm 3.55-3.59, 4 Pm 3.55-3.57
2 Th 0.0059 0.0031 0.6650  6 Tm 3.51-3.64, 3 Th 3.53-3.55, 3 Pm 3.54-3.59
3 Th 0.9941 0.9969 0.3350  6 Tm 3.51-3.64, 3 Th 3.53-3.55, 3 Pm 3.54-3.59
4 Th 0.3311 0.6655 0.8892  4 Th 3.55-3.56, 4 Tm 3.55-3.59, 4 Pm 3.55-3.57
5 Pm 0.6675 0.3339 0.7785  7 Th 3.54-3.59, 5 Tm 3.55-3.59
6 Pm 0.3325 0.6661 0.2215  7 Th 3.54-3.59, 5 Tm 3.55-3.59
7 Tm 0.3267 0.6634 0.5545  3 Tm 3.50-3.60, 6 Th 3.51-3.64, 3 Pm 3.58-3.59
8 Tm 0.0000 0.0000 0.0000  4 Pm 3.55, 8 Th 3.55-3.61
9 Tm 0.6733 0.3366 0.4455  3 Tm 3.50-3.60, 6 Th 3.51-3.64, 3 Pm 3.58-3.59



Entry 11:
Material: Pm4Tm2Th3
Method: DFT, GGA-PBE
State: optimized geometry

Results
Uncorrected energy, Ha/atom: -0.202
Calculated formation energy, eV/atom: 0.091
Calculated volume, Å³/cell: 296.9

abc: 3.5708 3.5708 26.8899
angles: 90.00 90.00 120.00
Last column: nearest neighbours and their distance in Å.
Fractional coordinates of all 9 atoms:
1 Tm 0.6667 0.3333 0.0873  1 Pm 3.36, 3 Th 3.48, 6 Tm 3.57
2 Tm 0.6667 0.3333 0.8745  3 Pm 3.55, 6 Tm 3.57, 3 Th 3.58
3 Th 0.0000 0.0000 0.3205  6 Pm 3.57-3.61, 6 Th 3.57
4 Th 0.0000 0.0000 0.9833  6 Tm 3.48-3.58, 6 Th 3.57
5 Th 0.6667 0.3333 0.6556  6 Th 3.57, 6 Pm 3.60-3.64
6 Pm 0.6667 0.3333 0.2123  1 Tm 3.36, 3 Th 3.57, 6 Pm 3.57
7 Pm 0.0000 0.0000 0.5457  9 Pm 3.57-3.72, 3 Th 3.60
8 Pm 0.0000 0.0000 0.7671  3 Tm 3.55, 6 Pm 3.57, 3 Th 3.64
9 Pm 0.6667 0.3333 0.4308  9 Pm 3.57-3.72, 3 Th 3.61



Entry 12:
Material: PmTm8Th4
Method: DFT, GGA-PBE
State: optimized geometry

Results
Uncorrected energy, Ha/atom: -0.190
Calculated formation energy, eV/atom: 0.219
Calculated volume, Å³/cell: 408.3

abc: 7.3295 7.3296 9.7429
angles: 90.00 112.09 120.00
Last column: nearest neighbours and their distance in Å.
Fractional coordinates of all 13 atoms:
1 Tm 0.4987 0.2493 0.3110  1 Pm 2.90, 2 Tm 3.20
2 Tm 0.0616 0.2493 0.3110  1 Pm 2.90, 2 Tm 3.20
3 Tm 0.5580 0.7790 0.3370  9 Tm 3.60-3.68, 3 Th 3.64
4 Tm 0.0616 0.8123 0.3110  1 Pm 2.90, 2 Tm 3.20
5 Tm 0.5013 0.7507 0.6890  1 Pm 2.90, 2 Tm 3.20
6 Tm 0.4420 0.2210 0.6630  9 Tm 3.60-3.68, 3 Th 3.64
7 Tm 0.9384 0.1877 0.6890  1 Pm 2.90, 2 Tm 3.20
8 Tm 0.9384 0.7507 0.6890  1 Pm 2.90, 2 Tm 3.20
9 Th 0.5000 0.0000 0.0000  6 Tm 3.54-3.64, 6 Th 3.66
10 Th 0.0000 0.0000 0.0000  6 Tm 3.30, 6 Th 3.66
11 Th 0.5000 0.5000 0.0000  6 Tm 3.54-3.64, 6 Th 3.66
12 Th 0.0000 0.5000 0.0000  6 Tm 3.54-3.64, 6 Th 3.66
13 Pm 0.0000 0.5000 0.5000  6 Tm 2.90



Q: The highest uncorrected energy belongs to which entry?
A: Pm2Tm12Th